No. 1
Here is Ta2InSb after structural relaxation from the Alexandria database. Energies are from PBE.

Cell and atoms, written as extended XYZ:
```
4
Lattice="-3.440 0.626 3.313 -4.621 0.227 -1.339 -2.999 -3.614 1.071" Properties=species:S:1:pos:R:3 pbc="T T T"
Ta -8.295 -2.070 2.284
Ta -2.765 -0.690 0.761
In 0.000 0.000 0.000
Sb -5.530 -1.380 1.523
```

Calculated values
space group: Fm-3m
N(E_F): 4.24 states/eV per cell
ΔE to the lowest computed polymorph: 0.291 eV per atom
total magnetization: 0.00 Bohr magnetons per cell

=====

No. 2
Here is Ta2InSb after structural relaxation from the Alexandria database. Energies are from PBE.

Cell and atoms, written as extended XYZ:
```
4
Lattice="-1.357 -3.957 -2.433 1.869 0.785 -2.319 5.119 -2.459 1.143" Properties=species:S:1:pos:R:3 pbc="T T T"
Ta 0.887 -2.460 -1.307
Ta 0.116 0.047 -0.142
In 3.240 -0.789 -0.525
Sb 4.881 -3.267 -2.223
```

Calculated values
space group: Pm
N(E_F): 1.85 states/eV per cell
ΔE to the lowest computed polymorph: 0.143 eV per atom
total magnetization: 0.00 Bohr magnetons per cell

=====

No. 3
Here is Ta4InSb after structural relaxation from the Alexandria database. Energies are from PBE.

Cell and atoms, written as extended XYZ:
```
6
Lattice="4.536 -0.271 3.255 0.075 -3.437 4.408 3.223 -4.567 -0.071" Properties=species:S:1:pos:R:3 pbc="T T T"
Sb 0.000 0.000 0.000
Ta 2.944 -3.110 2.853
Ta 5.197 -3.245 4.470
Ta 2.982 -4.817 5.042
Ta 4.545 -5.378 2.818
In 5.876 -6.206 5.694
```

Calculated values
space group: F-43m
energy: -8.65 eV per atom
N(E_F): 5.49 states/eV per cell
total magnetization: 0.00 Bohr magnetons per cell

=====

No. 4
Here is Ta2InSb after structural relaxation from the Alexandria database. Energies are from PBE.

Cell and atoms, written as extended XYZ:
```
4
Lattice="3.294 0.000 0.000 0.000 3.294 0.000 0.000 0.000 7.418" Properties=species:S:1:pos:R:3 pbc="T T T"
Ta 0.000 0.000 7.239
Ta 0.000 0.000 3.888
In 1.647 1.647 1.854
Sb 1.647 1.647 5.563
```

Calculated values
space group: P4/mmm
N(E_F): 1.12 states/eV per cell
ΔE to the lowest computed polymorph: 0.176 eV per atom
total magnetization: 0.00 Bohr magnetons per cell

=====

No. 5
Here is TaInTcSb2 after structural relaxation from the Alexandria database. Energies are from PBE.

Cell and atoms, written as extended XYZ:
```
5
Lattice="5.399 0.000 0.000 0.000 4.871 0.000 0.000 0.000 5.399" Properties=species:S:1:pos:R:3 pbc="T T T"
Ta 0.000 0.000 0.000
Sb 2.699 0.000 0.000
Sb 0.000 0.000 2.699
In 2.699 2.435 2.699
Tc 0.000 2.435 0.000
```

Calculated values
space group: P4/mmm
energy: -5.73 eV per atom
N(E_F): 4.35 states/eV per cell
total magnetization: 1.73 Bohr magnetons per cell

=====

No. 6
Here is TaInSbTe2 after structural relaxation from the Alexandria database. Energies are from PBE.

Cell and atoms, written as extended XYZ:
```
5
Lattice="5.458 0.000 0.000 0.000 5.458 0.000 0.000 0.000 5.464" Properties=species:S:1:pos:R:3 pbc="T T T"
Sb 0.000 0.000 2.732
In 2.729 2.729 2.732
Te 2.729 0.000 0.000
Te 0.000 2.729 0.000
Ta 0.000 0.000 0.000
```

Calculated values
space group: P4/mmm
N(E_F): 1.91 states/eV per cell
ΔE to the lowest computed polymorph: 0.000 eV per atom
total magnetization: 0.00 Bohr magnetons per cell

=====

No. 7
Here is TaInSb2Te after structural relaxation from the Alexandria database. Energies are from PBE.

Cell and atoms, written as extended XYZ:
```
5
Lattice="5.919 0.000 0.000 0.000 5.919 0.000 0.000 0.000 5.670" Properties=species:S:1:pos:R:3 pbc="T T T"
In 2.960 2.960 2.835
Sb 0.000 2.960 0.000
Sb 2.960 0.000 0.000
Te 0.000 0.000 2.835
Ta 0.000 0.000 0.000
```

Calculated values
space group: P4/mmm
N(E_F): 4.80 states/eV per cell
ΔE to the lowest computed polymorph: 0.000 eV per atom
total magnetization: 0.00 Bohr magnetons per cell

=====

No. 8
Here is TaInSbTe2 after structural relaxation from the Alexandria database. Energies are from PBE.

Cell and atoms, written as extended XYZ:
```
5
Lattice="-2.541 -4.212 2.551 4.887 -1.803 1.891 -0.595 3.052 4.447" Properties=species:S:1:pos:R:3 pbc="T T T"
Ta 0.875 -1.481 4.444
In 0.000 0.000 0.000
Te 2.443 -0.901 0.946
Te -1.270 -2.106 1.275
Sb -0.298 1.526 2.223
```

Calculated values
space group: P4/mmm
N(E_F): 7.97 states/eV per cell
ΔE to the lowest computed polymorph: 1.225 eV per atom
total magnetization: 2.25 Bohr magnetons per cell